The following is a DFT calculation (PBE-GGA) of Pr3MnBi5 after structural relaxation. Values from VASP.

The structure in Quantum ESPRESSO input format:
```
&SYSTEM
  ibrav = 0, nat = 18, ntyp = 3
/
ATOMIC_SPECIES
Pr 140.91 Pr.upf
Mn 54.94 Mn.upf
Bi 208.98 Bi.upf
CELL_PARAMETERS angstrom
5.256 4.839 6.672
-9.644 -1.055 1.201
1.006 -5.528 3.217
ATOMIC_POSITIONS crystal
Pr 0.622 0.622 0.750
Pr 0.378 0.000 0.750
Pr 0.622 0.000 0.250
Pr 0.000 0.378 0.750
Pr 0.378 0.378 0.250
Pr 0.000 0.622 0.250
Mn 0.000 0.000 0.000
Mn 0.000 0.000 0.500
Bi 0.253 0.000 0.250
Bi 0.000 0.253 0.250
Bi 0.000 0.747 0.750
Bi 0.333 0.667 0.500
Bi 0.333 0.667 0.000
Bi 0.253 0.253 0.750
Bi 0.667 0.333 0.500
Bi 0.747 0.747 0.250
Bi 0.747 0.000 0.750
Bi 0.667 0.333 0.000
```

For the final energy, the calculation gives -0.19519 Ha/atom. As for the spin magnetization: 3.77 μB/f.u. For the energy relative to the elements, the calculation gives -0.543 eV per atom.



The following is a DFT calculation (PBE-GGA) of MnBiPt3 after structural relaxation. Values from VASP.

The structure in Quantum ESPRESSO input format:
```
&SYSTEM
  ibrav = 0, nat = 5, ntyp = 3
/
ATOMIC_SPECIES
Mn 54.94 Mn.upf
Bi 208.98 Bi.upf
Pt 195.08 Pt.upf
CELL_PARAMETERS angstrom
-3.432 2.676 -1.635
-1.676 -3.614 -2.396
-2.650 -1.180 3.633
ATOMIC_POSITIONS crystal
Mn 0.000 0.000 0.000
Bi 0.500 0.500 0.500
Pt 0.000 0.500 0.000
Pt 0.000 0.000 0.500
Pt 0.500 0.000 0.000
```

For the final energy, the calculation gives -0.20497 Ha/atom. As for the spin magnetization: 0.00 μB/f.u. For the energy relative to the elements, the calculation gives 0.657 eV per atom. The excess energy over the best structure of this formula in the dataset comes out at 0.000 eV per atom.



The following is a DFT calculation (PBE-GGA) of MnBi2Pt2 after structural relaxation. Values from VASP.

The structure in Quantum ESPRESSO input format:
```
&SYSTEM
  ibrav = 0, nat = 10, ntyp = 3
/
ATOMIC_SPECIES
Mn 54.94 Mn.upf
Bi 208.98 Bi.upf
Pt 195.08 Pt.upf
CELL_PARAMETERS angstrom
-5.732 -2.857 -3.049
-1.000 -4.087 5.711
-2.454 3.052 1.754
ATOMIC_POSITIONS crystal
Mn 0.000 0.000 0.000
Mn 0.500 0.500 0.000
Bi 0.170 0.670 0.500
Bi 0.670 0.830 0.500
Bi 0.830 0.330 0.500
Bi 0.330 0.170 0.500
Pt 0.360 0.860 0.000
Pt 0.860 0.640 0.000
Pt 0.640 0.140 0.000
Pt 0.140 0.360 0.000
```

For the final energy, the calculation gives -0.21501 Ha/atom. As for the spin magnetization: 4.41 μB/f.u. For the energy relative to the elements, the calculation gives -0.048 eV per atom.



The following is a DFT calculation (PBE-GGA) of Mn2Bi2Pt after structural relaxation. Values from VASP.

The structure in Quantum ESPRESSO input format:
```
&SYSTEM
  ibrav = 0, nat = 10, ntyp = 3
/
ATOMIC_SPECIES
Mn 54.94 Mn.upf
Bi 208.98 Bi.upf
Pt 195.08 Pt.upf
CELL_PARAMETERS angstrom
6.994 0.000 0.000
0.000 6.994 0.000
0.000 0.000 4.220
ATOMIC_POSITIONS crystal
Mn 0.364 0.864 0.000
Mn 0.864 0.636 0.000
Mn 0.636 0.136 0.000
Mn 0.136 0.364 0.000
Bi 0.175 0.675 0.500
Bi 0.675 0.825 0.500
Bi 0.825 0.325 0.500
Bi 0.325 0.175 0.500
Pt 0.000 0.000 0.000
Pt 0.500 0.500 0.000
```

For the final energy, the calculation gives -0.22823 Ha/atom. As for the spin magnetization: 7.51 μB/f.u. For the energy relative to the elements, the calculation gives 0.218 eV per atom. The excess energy over the best structure of this formula in the dataset comes out at 0.000 eV per atom.



The following is a DFT calculation (PBE-GGA) of Mn2BiPt after structural relaxation. Values from VASP.

The structure in Quantum ESPRESSO input format:
```
&SYSTEM
  ibrav = 0, nat = 8, ntyp = 3
/
ATOMIC_SPECIES
Mn 54.94 Mn.upf
Bi 208.98 Bi.upf
Pt 195.08 Pt.upf
CELL_PARAMETERS angstrom
5.645 0.000 0.000
0.000 5.645 0.000
2.822 2.822 5.694
ATOMIC_POSITIONS crystal
Mn 0.578 0.125 0.250
Mn 0.172 0.625 0.250
Mn 0.375 0.422 0.750
Mn 0.875 0.828 0.750
Bi 0.000 0.000 0.000
Bi 0.750 0.250 0.500
Pt 0.500 0.500 0.000
Pt 0.250 0.750 0.500
```

For the final energy, the calculation gives -0.21930 Ha/atom. As for the spin magnetization: 0.00 μB/f.u. For the energy relative to the elements, the calculation gives 1.098 eV per atom.



The following is a DFT calculation (PBE-GGA) of Mn2Bi2Pt after structural relaxation. Values from VASP.

The structure in Quantum ESPRESSO input format:
```
&SYSTEM
  ibrav = 0, nat = 5, ntyp = 3
/
ATOMIC_SPECIES
Mn 54.94 Mn.upf
Bi 208.98 Bi.upf
Pt 195.08 Pt.upf
CELL_PARAMETERS angstrom
-0.894 -5.000 1.288
-0.821 -1.152 -5.045
2.683 -3.814 -2.287
ATOMIC_POSITIONS crystal
Mn 0.369 0.369 0.262
Mn 0.631 0.631 0.738
Bi 0.750 0.250 0.500
Bi 0.250 0.750 0.500
Pt 0.000 0.000 0.000
```

For the final energy, the calculation gives -0.21099 Ha/atom. As for the spin magnetization: 1.25 μB/f.u. For the energy relative to the elements, the calculation gives 0.687 eV per atom. The excess energy over the best structure of this formula in the dataset comes out at 0.469 eV per atom.